A plane-wave DFT calculation with PBE was carried out for a geometry-optimized Cs2CeTe3 structure.

Lattice parameters (Å, degrees): 8.1428 8.9634 8.9634 109.11 90.00 90.00
With the nearest neighbours (Å) after each atom.
Element x y z (fractional)
Te1 0.0000 0.1434 0.8566  2 Ce 3.06
Te2 0.2500 0.6334 0.6334  1 Ce 2.89
Te3 0.0000 0.8566 0.1434  2 Ce 3.06
Te4 0.7500 0.3666 0.3666  1 Ce 2.89
Te5 0.5000 0.8566 0.1434  2 Ce 3.06
Te6 0.5000 0.1434 0.8566  2 Ce 3.06
Cs1 0.2500 0.1772 0.4934  5 Te 3.87-4.04
Cs2 0.2500 0.4934 0.1772  5 Te 3.87-4.04
Cs3 0.7500 0.8228 0.5066  5 Te 3.87-4.04
Cs4 0.7500 0.5066 0.8228  5 Te 3.87-4.04
Ce1 0.7500 0.0884 0.0884  5 Te 2.89-3.06
Ce2 0.2500 0.9116 0.9116  5 Te 2.89-3.06

Values from the calculation:
As for the total DFT energy (no corrections): -3.995 eV per atom. As for the space group: Cmcm. The value obtained for the magnetization is 0.2 μB/f.u. Its crystal system is orthorhombic.


A plane-wave DFT calculation with PBE was carried out for a geometry-optimized ScNiHg2 structure.

Lattice parameters (Å, degrees): 4.9621 4.9621 4.9621 127.77 127.77 76.99
With the nearest neighbours (Å) after each atom.
Element x y z (fractional)
Ni1 0.2500 0.7500 0.5000  8 Hg 2.92, 4 Sc 3.09
Hg1 0.0000 0.0000 0.0000  4 Ni 2.92, 4 Sc 2.92, 4 Hg 3.09
Hg2 0.5000 0.5000 0.0000  4 Ni 2.92, 4 Sc 2.92, 4 Hg 3.09
Sc1 0.7500 0.2500 0.5000  8 Hg 2.92, 4 Ni 3.09

Values from the calculation:
As for the total DFT energy (no corrections): -3.350 eV per atom. As for the space group: I4/mmm. The energy relative to the elements is -0.171 eV/atom. The value obtained for the magnetization is 0.0 μB/f.u. Its crystal system is tetragonal.


A plane-wave DFT calculation with PBE was carried out for a geometry-optimized Cs2HfSbCl6 structure.

Lattice parameters (Å, degrees): 7.7217 7.7217 8.4284 62.74 62.74 90.00
With the nearest neighbours (Å) after each atom.
Element x y z (fractional)
Cs1 0.2500 0.7500 0.5000  12 Cl 3.93-4.22
Cs2 0.7500 0.2500 0.5000  12 Cl 3.93-4.22
Cl1 0.7741 0.7741 0.0000  1 Hf 2.47
Cl2 0.2259 0.7741 0.0000  1 Hf 2.47
Cl3 0.8074 0.8074 0.3853  1 Hf 2.47
Cl4 0.7741 0.2259 0.0000  1 Hf 2.47
Cl5 0.2259 0.2259 0.0000  1 Hf 2.47
Cl6 0.1926 0.1926 0.6147  1 Hf 2.47
Sb1 0.5000 0.5000 0.0000  4 Cl 2.99
Hf1 0.0000 0.0000 0.0000  6 Cl 2.47

Values from the calculation:
As for the total DFT energy (no corrections): -4.121 eV per atom. As for the space group: I4/mmm. The value obtained for the magnetization is 1.0 μB/f.u. Its crystal system is tetragonal.


A plane-wave DFT calculation with PBE was carried out for a geometry-optimized LiSnB structure.

Lattice parameters (Å, degrees): 4.8892 3.7229 5.9029 90.00 79.07 90.00
With the nearest neighbours (Å) after each atom.
Element x y z (fractional)
Li1 0.0211 0.0000 0.3457  4 B 2.45-2.55, 1 Sn 2.67
Li2 0.6288 0.5000 0.6538  3 B 2.44-2.55
Sn1 0.0917 0.0000 0.8076  2 B 2.32
Sn2 0.5429 0.0000 0.1089  2 B 2.33
B1 0.3804 0.5000 0.3307  1 B 1.60
B2 0.1599 0.5000 0.5695  1 B 1.60

Values from the calculation:
As for the total DFT energy (no corrections): -4.074 eV per atom. As for the space group: Pm. The energy relative to the elements is 0.124 eV/atom. The value obtained for the magnetization is 0.0 μB/f.u. Its crystal system is monoclinic.


A plane-wave DFT calculation with PBE was carried out for a geometry-optimized Li2Ca2Be structure.

Lattice parameters (Å, degrees): 7.8313 7.8313 4.9738 90.00 90.00 90.00
With the nearest neighbours (Å) after each atom.
Element x y z (fractional)
Li1 0.8552 0.3552 0.5000  1 Li 3.21, 6 Ca 3.26-3.47
Li2 0.3552 0.1448 0.5000  1 Li 3.21, 6 Ca 3.26-3.47
Li3 0.1448 0.6448 0.5000  1 Li 3.21, 6 Ca 3.26-3.47
Li4 0.6448 0.8552 0.5000  1 Li 3.21, 6 Ca 3.26-3.47
Be1 0.0000 0.0000 0.0000  4 Ca 2.93
Be2 0.5000 0.5000 0.0000  4 Ca 2.93
Ca1 0.6645 0.1645 0.0000  2 Be 2.93, 2 Li 3.26
Ca2 0.1645 0.3355 0.0000  2 Be 2.93, 2 Li 3.26
Ca3 0.8355 0.6645 0.0000  2 Be 2.93, 2 Li 3.26
Ca4 0.3355 0.8355 0.0000  2 Be 2.93, 2 Li 3.26

Values from the calculation:
As for the total DFT energy (no corrections): -1.820 eV per atom. As for the space group: P4/mbm. The energy relative to the elements is 0.491 eV/atom. The value obtained for the magnetization is 0.0 μB/f.u. Its crystal system is tetragonal.


A plane-wave DFT calculation with PBE was carried out for a geometry-optimized Pa2Sb structure.

Lattice parameters (Å, degrees): 3.8413 3.8413 5.7658 109.46 109.46 90.00
With the nearest neighbours (Å) after each atom.
Element x y z (fractional)
Pa1 0.6903 0.6903 0.3806  4 Pa 2.98, 1 Sb 3.15
Pa2 0.3097 0.3097 0.6194  4 Pa 2.98, 1 Sb 3.15
Sb1 0.0000 0.0000 0.0000  10 Pa 3.15-3.34

Values from the calculation:
As for the total DFT energy (no corrections): -7.867 eV per atom. As for the space group: I4/mmm. The value obtained for the magnetization is 0.0 μB/f.u. Its crystal system is tetragonal.


A plane-wave DFT calculation with PBE was carried out for a geometry-optimized In2NiMo structure.

Lattice parameters (Å, degrees): 5.0592 5.0592 5.1385 70.86 70.86 34.69
With the nearest neighbours (Å) after each atom.
Element x y z (fractional)
Ni1 0.2500 0.2500 0.2500  4 In 2.61
In1 0.9795 0.9795 0.0146  2 Ni 2.61, 2 Mo 2.92
In2 0.5205 0.5205 0.4854  2 Ni 2.61, 2 Mo 2.92
Mo1 0.7500 0.7500 0.7500  6 In 2.92-2.97, 4 Ni 2.98, 2 Mo 3.02

Values from the calculation:
As for the total DFT energy (no corrections): -5.162 eV per atom. As for the space group: C2/m. The energy relative to the elements is 0.360 eV/atom. The value obtained for the magnetization is 0.0 μB/f.u. Its crystal system is monoclinic.


A plane-wave DFT calculation with PBE was carried out for a geometry-optimized PaTi2S3 structure.

Lattice parameters (Å, degrees): 3.4020 6.9006 9.7465 79.84 100.05 90.00
With the nearest neighbours (Å) after each atom.
Element x y z (fractional)
S1 0.2235 0.3013 0.4469  3 Ti 2.46-2.48
S2 0.7765 0.6987 0.5531  3 Ti 2.46-2.48
S3 0.1018 0.7980 0.2036  4 Ti 2.52-2.62
S4 0.4303 0.6413 0.8606  3 Ti 2.38-2.51
S5 0.5697 0.3587 0.1394  3 Ti 2.38-2.51
S6 0.8982 0.2020 0.7964  4 Ti 2.52-2.62
Ti1 0.0314 0.1611 0.0628  4 S 2.38-2.62
Ti2 0.3296 0.4539 0.6593  6 S 2.46-2.61
Ti3 0.9686 0.8389 0.9372  4 S 2.38-2.62
Ti4 0.6704 0.5461 0.3407  6 S 2.46-2.61
Pa1 0.6704 0.0322 0.3408  6 S 2.69-2.84
Pa2 0.3296 0.9678 0.6592  6 S 2.69-2.84

Values from the calculation:
As for the total DFT energy (no corrections): -7.457 eV per atom. As for the space group: C2/m. The value obtained for the magnetization is 0.0 μB/f.u. Its crystal system is monoclinic.


A plane-wave DFT calculation with PBE was carried out for a geometry-optimized Ce5BiRh2 structure.

Lattice parameters (Å, degrees): 7.6479 7.6479 8.8807 115.51 115.51 90.00
With the nearest neighbours (Å) after each atom.
Element x y z (fractional)
Rh1 0.6811 0.1811 0.0000  8 Ce 2.80-3.13
Rh2 0.3189 0.8189 0.0000  8 Ce 2.80-3.13
Rh3 0.8189 0.6811 0.0000  8 Ce 2.80-3.13
Rh4 0.1811 0.3189 0.0000  8 Ce 2.80-3.13
Ce1 0.2714 0.7714 0.2827  1 Ce 2.81, 3 Rh 2.85-3.13
Ce2 0.5113 0.2714 0.2827  1 Ce 2.81, 3 Rh 2.85-3.13
Ce3 0.9887 0.4887 0.7173  1 Ce 2.81, 3 Rh 2.85-3.13
Ce4 0.0113 0.5113 0.2827  1 Ce 2.81, 3 Rh 2.85-3.13
Ce5 0.0000 0.0000 0.0000  4 Rh 2.80
Ce6 0.7714 0.0113 0.2827  1 Ce 2.81, 3 Rh 2.85-3.13
Ce7 0.2286 0.9887 0.7173  1 Ce 2.81, 3 Rh 2.85-3.13
Ce8 0.4887 0.7286 0.7173  1 Ce 2.81, 3 Rh 2.85-3.13
Ce9 0.7286 0.2286 0.7173  1 Ce 2.81, 3 Rh 2.85-3.13
Ce10 0.5000 0.5000 0.0000  4 Rh 2.80
Bi1 0.7500 0.7500 0.5000  10 Ce 3.37-3.52
Bi2 0.2500 0.2500 0.5000  10 Ce 3.37-3.52

Values from the calculation:
As for the total DFT energy (no corrections): -6.597 eV per atom. As for the space group: I4/mcm. The energy relative to the elements is -0.565 eV/atom. The value obtained for the magnetization is 3.0 μB/f.u. Its crystal system is tetragonal.


A plane-wave DFT calculation with PBE was carried out for a geometry-optimized CuPdSe structure.

Lattice parameters (Å, degrees): 3.9271 3.8527 3.8527 120.00 90.00 90.00
With the nearest neighbours (Å) after each atom.
Element x y z (fractional)
Pd1 0.6665 0.6667 0.3333  3 Cu 2.64, 3 Se 2.64
Cu1 0.3062 0.3333 0.6667  3 Se 2.48, 3 Pd 2.64
Se1 0.0273 0.0000 0.0000  3 Cu 2.48, 3 Pd 2.64

Values from the calculation:
As for the total DFT energy (no corrections): -4.242 eV per atom. As for the space group: P3m1. The value obtained for the magnetization is 0.0 μB/f.u. Its crystal system is trigonal.


A plane-wave DFT calculation with PBE was carried out for a geometry-optimized Li2ErTl2 structure.

Lattice parameters (Å, degrees): 3.3042 8.1448 8.1448 90.00 90.00 90.00
With the nearest neighbours (Å) after each atom.
Element x y z (fractional)
Li1 0.0000 0.6154 0.1154  1 Li 2.66, 2 Tl 2.85
Li2 0.0000 0.1154 0.3846  1 Li 2.66, 2 Tl 2.85
Li3 0.0000 0.3846 0.8846  1 Li 2.66, 2 Tl 2.85
Li4 0.0000 0.8846 0.6154  1 Li 2.66, 2 Tl 2.85
Tl1 0.5000 0.3167 0.1833  6 Li 2.85-2.99
Tl2 0.5000 0.8167 0.3167  6 Li 2.85-2.99
Tl3 0.5000 0.1833 0.6833  6 Li 2.85-2.99
Tl4 0.5000 0.6833 0.8167  6 Li 2.85-2.99
Er1 0.0000 0.5000 0.5000  4 Li 3.27, 2 Er 3.30, 8 Tl 3.41
Er2 0.0000 0.0000 0.0000  4 Li 3.27, 2 Er 3.30, 8 Tl 3.41

Values from the calculation:
As for the total DFT energy (no corrections): -2.837 eV per atom. As for the space group: P4/mbm. The energy relative to the elements is -0.212 eV/atom. The value obtained for the magnetization is 0.0 μB/f.u. Its crystal system is tetragonal.


A plane-wave DFT calculation with PBE was carried out for a geometry-optimized SrCaPmHo structure.

Lattice parameters (Å, degrees): 5.9975 5.9975 5.9975 60.00 60.00 60.00
With the nearest neighbours (Å) after each atom.
Element x y z (fractional)
Ca1 0.5000 0.5000 0.5000  4 Ho 3.67, 4 Sr 3.67
Sr1 0.2500 0.2500 0.2500  4 Ca 3.67, 4 Pm 3.67
Ho1 0.7500 0.7500 0.7500  4 Pm 3.67, 4 Ca 3.67
Pm1 0.0000 0.0000 0.0000  4 Ho 3.67, 4 Sr 3.67

Values from the calculation:
As for the total DFT energy (no corrections): -3.059 eV per atom. As for the space group: F-43m. The energy relative to the elements is 0.194 eV/atom. The value obtained for the magnetization is 0.0 μB/f.u. Its crystal system is cubic.